A plane-wave DFT calculation with PBE was carried out for a relaxed La5Tb4Dy4 crystal.

Calculated values
Its crystal system is tetragonal. The total magnetic moment comes out at 0.0 μB/f.u. For the total energy, the calculation gives -61.18 eV for the cell shown.

```
La5Tb4Dy4
1.0
-1.8496 -2.2384 4.2149
6.4821 1.7565 6.8850
-5.3823 6.7068 4.3076
La Tb Dy
5 4 4
direct
0.6947 0.8439 0.7668
0.3053 0.1561 0.2332
0.0000 0.0000 0.0000
0.5386 0.7668 0.1561
0.4614 0.2332 0.8439
0.7656 0.3897 0.0790
0.2344 0.6103 0.9210
0.8447 0.9210 0.3897
0.1553 0.0790 0.6103
0.9249 0.4620 0.6883
0.6131 0.3117 0.4620
0.0751 0.5380 0.3117
0.3869 0.6883 0.5380
```